# 1
Compound: LaY2ScTe4
Source: Alexandria via LeMat-Bulk
Functional: PBE
Structure: optimized geometry

Cell lengths 4.337, 7.640, 7.588 Å; angles 108.94, 90.00, 90.00 degrees
Positions (direct):
La 0.500 0.500 0.000
Y 0.500 0.000 0.500
Y 0.000 0.500 0.500
Sc 0.000 0.000 0.000
Te 0.500 0.235 0.245
Te 0.500 0.765 0.755
Te 0.000 0.235 0.744
Te 0.000 0.765 0.256

Values from the calculation:
Uncorrected formation energy (eV/f.u.): -10.43
SG: P2/m (10)

# 2
Compound: InAsP2S
Source: Alexandria via LeMat-Bulk
Functional: PBE
Structure: optimized geometry

Cell lengths 4.779, 4.779, 4.914 Å; angles 90.00, 90.00, 90.00 degrees
Positions (direct):
P 0.000 0.500 0.000
P 0.500 0.000 0.000
As 0.000 0.000 0.000
S 0.000 0.000 0.500
In 0.500 0.500 0.500

Values from the calculation:
Uncorrected formation energy (eV/f.u.): 3.28
Polymorph energy (0 for the lowest one) (eV per formula unit): 0.00
SG: P4/mmm (123)

# 3
Compound: ZnCdCo
Source: Alexandria via LeMat-Bulk
Functional: PBE
Structure: optimized geometry

Cell lengths 4.357, 4.357, 2.777 Å; angles 90.00, 90.00, 120.00 degrees
Last column: magnetic moment on the atom in μB.
Positions (direct):
Cd 0.000 0.000 0.994  -0.02
Co 0.333 0.667 0.475  1.17
Zn 0.667 0.333 0.531  -0.02

Values from the calculation:
Formation energy from the elements (meV per atom): 229
Polymorph energy (0 for the lowest one) (eV per formula unit): 0.24
SG: P3m1 (156)

Computed raw total energy (Ry/atom) in order:
-0.4335, -0.2801, -0.2109
Computed magnetic moment (μB/f.u.) in order:
0.0, 0.0, 1.1